(1)
DFT (PBE-GGA) results for a relaxed Ce2AgI crystal.

Computed properties:
**Uncorrected formation energy**: -344.5 meV/atom
**Volume**: 111.30 Å³/f.u.

The structure in extended XYZ format:
```
4
Lattice="3.676 0.000 0.000 0.000 3.676 0.000 0.000 0.000 8.237" Properties=species:S:1:pos:R:3 pbc="T T T"
Ce 0.000 0.000 1.943
Ce 0.000 0.000 6.294
Ag 1.838 1.838 0.000
I 1.838 1.838 4.118
```



(2)
DFT (PBE-GGA) results for a relaxed CeAg2I8 crystal.

Computed properties:
**Uncorrected formation energy**: -595.4 meV/atom
**Volume**: 535.85 Å³/f.u.

The structure in extended XYZ format:
```
11
Lattice="6.242 -6.261 0.000 6.242 6.261 0.000 -2.390 0.000 6.855" Properties=species:S:1:pos:R:3 pbc="T T T"
Ce 0.000 0.000 0.000
Ag 0.519 0.000 4.626
Ag 9.575 0.000 2.228
I 4.679 4.011 1.315
I 2.093 0.000 2.291
I 5.416 4.011 5.540
I 3.373 0.000 5.553
I 6.722 0.000 1.302
I 4.679 -4.011 1.315
I 8.002 0.000 4.564
I 5.416 -4.011 5.540
```



(3)
DFT (PBE-GGA) results for a relaxed CeAgI5 crystal.

Computed properties:
**Uncorrected formation energy**: -847.7 meV/atom
**Volume**: 342.96 Å³/f.u.

The structure in extended XYZ format:
```
14
Lattice="5.940 -5.641 0.000 5.940 5.641 0.000 -5.580 0.000 10.235" Properties=species:S:1:pos:R:3 pbc="T T T"
Ce 2.970 2.820 0.000
Ce 0.180 -2.820 5.118
Ag 1.756 4.179 7.677
Ag 4.545 -4.179 2.559
I -0.585 0.080 4.874
I -0.179 2.245 8.558
I -3.375 -0.080 9.992
I 4.545 2.020 2.559
I 3.690 2.245 6.795
I 2.611 -2.245 3.441
I 1.756 -2.020 7.677
I 9.676 0.080 0.243
I 6.480 -2.245 1.677
I 6.886 -0.080 5.361
```



(4)
DFT (PBE-GGA) results for a relaxed CeAg3I6 crystal.

Computed properties:
**Uncorrected formation energy**: -611.1 meV/atom
**Volume**: 412.48 Å³/f.u.

The structure in extended XYZ format:
```
10
Lattice="7.876 0.000 0.000 3.878 7.268 0.000 3.866 2.160 7.206" Properties=species:S:1:pos:R:3 pbc="T T T"
Ce 0.000 0.000 0.000
Ag 3.938 0.000 0.000
Ag 5.871 1.080 3.603
Ag 7.810 4.714 3.603
I 5.563 4.114 5.481
I 6.199 6.970 2.155
I 8.913 6.865 5.674
I 6.708 2.562 1.532
I 9.422 2.457 5.051
I 10.058 5.313 1.725
```